No. 1
Material: Np2VCo3As4
Method: DFT, PBE
State: relaxed

Geometry as CIF:
```
data_Np2VCo3As4
_chemical_formula_sum 'Np2 V1 Co3 As4'
_symmetry_space_group_name_H-M 'P -4 m 2'
_symmetry_Int_Tables_number 115
_cell_length_a 4.1405
_cell_length_b 4.1405
_cell_length_c 9.4880
_cell_angle_alpha 90.00
_cell_angle_beta 90.00
_cell_angle_gamma 90.00
loop_
_symmetry_equiv_pos_as_xyz
'x,y,z'
'y,-x,-z'
'-x,-y,z'
'-y,x,-z'
'-x,y,z'
'-y,-x,-z'
'x,-y,z'
'y,x,-z'
loop_
_atom_site_label
_atom_site_type_symbol
_atom_site_fract_x
_atom_site_fract_y
_atom_site_fract_z
Np1 Np 0.0000 0.5000 0.2424
V1 V 0.0000 0.0000 0.5000
Co1 Co 0.0000 0.5000 0.8879
Co2 Co 0.5000 0.5000 0.5000
As1 As 0.0000 0.0000 0.0000
As2 As 0.0000 0.5000 0.6426
As3 As 0.5000 0.5000 0.0000
```

## Properties
The formation energy is -0.425 eV per atom. The total DFT energy (no corrections) comes out at -79.17 eV per cell. The value obtained for the total magnetization is 8.6 μB per cell.


No. 2
Material: Li4AlSi
Method: DFT, PBE
State: relaxed

Geometry as CIF:
```
data_Li4AlSi
_chemical_formula_sum 'Li16 Al4 Si4'
_symmetry_space_group_name_H-M 'F -4 3 m'
_symmetry_Int_Tables_number 216
_symmetry_space_group_name_Hall 'F -4 2 3'
_cell_length_a 7.1493
_cell_length_b 7.1493
_cell_length_c 7.1493
_cell_angle_alpha 90.00
_cell_angle_beta 90.00
_cell_angle_gamma 90.00
loop_
_atom_site_label
_atom_site_type_symbol
_atom_site_fract_x
_atom_site_fract_y
_atom_site_fract_z
Li1 Li 0.1244 0.1244 0.1244
Al1 Al 0.0000 0.0000 0.5000
Si1 Si 0.2500 0.2500 0.7500
```

## Properties
The calculation puts the distance to the lowest polymorph of the same formula at 298.6 meV per atom. The total DFT energy (no corrections) comes out at -64.75 eV per cell. The value obtained for the total magnetization is 0.0 μB per cell. The uncorrected formation energy is 0.106 eV/atom.


No. 3
Material: B5C7
Method: DFT, PBE
State: relaxed

Geometry as CIF:
```
data_B5C7
_chemical_formula_sum 'B10 C14'
_symmetry_space_group_name_H-M 'C 2 2 2'
_symmetry_Int_Tables_number 21
_cell_length_a 3.7372
_cell_length_b 11.6228
_cell_length_c 3.6551
_cell_angle_alpha 90.00
_cell_angle_beta 90.00
_cell_angle_gamma 90.00
loop_
_symmetry_equiv_pos_as_xyz
'x,y,z'
'-x,-y,z'
'x,-y,-z'
'-x,y,-z'
'x+1/2,y+1/2,z'
'-x+1/2,-y+1/2,z'
'x+1/2,-y+1/2,-z'
'-x+1/2,y+1/2,-z'
loop_
_atom_site_label
_atom_site_type_symbol
_atom_site_fract_x
_atom_site_fract_y
_atom_site_fract_z
B1 B 0.0000 0.0000 0.0000
B2 B 0.0000 0.1473 0.5000
B3 B 0.2500 0.2500 0.7900
C1 C 0.0000 0.3478 0.0000
C2 C 0.0000 0.5000 0.5000
C3 C 0.2300 0.4204 0.2525
```

## Properties
The calculation puts the distance to the lowest polymorph of the same formula at 114.1 meV per atom. The formation energy is 0.372 eV per atom. The total DFT energy (no corrections) comes out at -186.98 eV per cell. The value obtained for the total magnetization is 0.0 μB per cell.


No. 4
Material: YHo2Hg2
Method: DFT, PBE
State: relaxed

Geometry as CIF:
```
data_YHo2Hg2
_chemical_formula_sum 'Y1 Ho2 Hg2'
_symmetry_space_group_name_H-M 'P -3 m 1'
_symmetry_Int_Tables_number 164
_symmetry_space_group_name_Hall '-P 3 2"'
_cell_length_a 5.1371
_cell_length_b 5.1371
_cell_length_c 6.3439
_cell_angle_alpha 90.00
_cell_angle_beta 90.00
_cell_angle_gamma 120.00
loop_
_atom_site_label
_atom_site_type_symbol
_atom_site_fract_x
_atom_site_fract_y
_atom_site_fract_z
Y1 Y 0.0000 0.0000 0.0000
Ho1 Ho 0.3333 0.6667 0.6595
Hg1 Hg 0.3333 0.6667 0.1774
```

## Properties
The calculation puts the distance to the lowest polymorph of the same formula at 148.5 meV per atom. The formation energy is -0.250 eV per atom. The total DFT energy (no corrections) comes out at -17.47 eV per cell. The value obtained for the total magnetization is 0.0 μB per cell.


No. 5
Material: PmSc2Tl
Method: DFT, PBE
State: relaxed

Geometry as CIF:
```
data_PmSc2Tl
_chemical_formula_sum 'Pm4 Sc8 Tl4'
_symmetry_space_group_name_H-M 'F m -3 m'
_symmetry_Int_Tables_number 225
_symmetry_space_group_name_Hall '-F 4 2 3'
_cell_length_a 7.4064
_cell_length_b 7.4064
_cell_length_c 7.4064
_cell_angle_alpha 90.00
_cell_angle_beta 90.00
_cell_angle_gamma 90.00
loop_
_atom_site_label
_atom_site_type_symbol
_atom_site_fract_x
_atom_site_fract_y
_atom_site_fract_z
Pm1 Pm 0.0000 0.0000 0.0000
Sc1 Sc 0.2500 0.2500 0.2500
Tl1 Tl 0.0000 0.0000 0.5000
```

## Properties
The calculation puts the distance to the lowest polymorph of the same formula at 164.5 meV per atom. The formation energy is -0.020 eV per atom. The total DFT energy (no corrections) comes out at -79.45 eV per cell. The value obtained for the total magnetization is 9.9 μB per cell.


No. 6
Material: Mn2BiBr
Method: DFT, PBE
State: relaxed

Geometry as CIF:
```
data_Mn2BiBr
_chemical_formula_sum 'Mn8 Bi4 Br4'
_symmetry_space_group_name_H-M 'I -4 2 d'
_symmetry_Int_Tables_number 122
_symmetry_space_group_name_Hall 'I -4 2bw'
_cell_length_a 6.2924
_cell_length_b 6.2924
_cell_length_c 13.2207
_cell_angle_alpha 90.00
_cell_angle_beta 90.00
_cell_angle_gamma 90.00
loop_
_atom_site_label
_atom_site_type_symbol
_atom_site_fract_x
_atom_site_fract_y
_atom_site_fract_z
Mn1 Mn 0.2491 0.2500 0.1250
Bi1 Bi 0.0000 0.0000 0.0000
Br1 Br 0.0000 0.0000 0.5000
```

## Properties
The calculation puts the distance to the lowest polymorph of the same formula at 0.0 meV per atom. The total DFT energy (no corrections) comes out at -90.29 eV per cell. The value obtained for the total magnetization is 40.0 μB per cell. The uncorrected formation energy is 0.330 eV/atom.


No. 7
Material: ZnRhBr2
Method: DFT, PBE
State: relaxed

Geometry as CIF:
```
data_ZnRhBr2
_chemical_formula_sum 'Zn3 Rh3 Br6'
_symmetry_space_group_name_H-M 'R 3 m'
_symmetry_Int_Tables_number 160
_symmetry_space_group_name_Hall 'R 3 -2"'
_cell_length_a 3.6295
_cell_length_b 3.6295
_cell_length_c 24.8075
_cell_angle_alpha 90.00
_cell_angle_beta 90.00
_cell_angle_gamma 120.00
loop_
_atom_site_label
_atom_site_type_symbol
_atom_site_fract_x
_atom_site_fract_y
_atom_site_fract_z
Zn1 Zn 0.0000 0.0000 0.0000
Rh1 Rh 0.0000 0.0000 0.2622
Br1 Br 0.0000 0.0000 0.5395
Br2 Br 0.0000 0.0000 0.7304
```

## Properties
The calculation puts the distance to the lowest polymorph of the same formula at 51.9 meV per atom. The total DFT energy (no corrections) comes out at -37.75 eV per cell. The value obtained for the total magnetization is 3.1 μB per cell. The uncorrected formation energy is -0.153 eV/atom.


No. 8
Material: LaThGe
Method: DFT, PBE
State: relaxed

Geometry as CIF:
```
data_LaThGe
_chemical_formula_sum 'La6 Th6 Ge6'
_symmetry_space_group_name_H-M 'R -3 m'
_symmetry_Int_Tables_number 166
_symmetry_space_group_name_Hall '-R 3 2"'
_cell_length_a 4.7919
_cell_length_b 4.7919
_cell_length_c 27.1785
_cell_angle_alpha 90.00
_cell_angle_beta 90.00
_cell_angle_gamma 120.00
loop_
_atom_site_label
_atom_site_type_symbol
_atom_site_fract_x
_atom_site_fract_y
_atom_site_fract_z
La1 La 0.0000 0.0000 0.1328
Th1 Th 0.0000 0.0000 0.2927
Ge1 Ge 0.0000 0.0000 0.4163
```

## Properties
The calculation puts the distance to the lowest polymorph of the same formula at 0.0 meV per atom. The formation energy is -0.342 eV per atom. The total DFT energy (no corrections) comes out at -107.95 eV per cell. The value obtained for the total magnetization is 0.0 μB per cell.


No. 9
Material: CoICl
Method: DFT, PBE
State: relaxed

Geometry as CIF:
```
data_CoICl
_chemical_formula_sum 'Co4 I4 Cl4'
_symmetry_space_group_name_H-M 'C m c 21'
_symmetry_Int_Tables_number 36
_cell_length_a 4.0900
_cell_length_b 15.9543
_cell_length_c 6.3524
_cell_angle_alpha 90.00
_cell_angle_beta 90.00
_cell_angle_gamma 90.00
loop_
_symmetry_equiv_pos_as_xyz
'x,y,z'
'-x,-y,z+1/2'
'-x,y,z'
'x,-y,z+1/2'
'x+1/2,y+1/2,z'
'-x+1/2,-y+1/2,z+1/2'
'-x+1/2,y+1/2,z'
'x+1/2,-y+1/2,z+1/2'
loop_
_atom_site_label
_atom_site_type_symbol
_atom_site_fract_x
_atom_site_fract_y
_atom_site_fract_z
Co1 Co 0.0000 0.0687 0.0000
I1 I 0.0000 0.3444 0.6167
Cl1 Cl 0.0000 0.0599 0.6444
```

## Properties
The calculation puts the distance to the lowest polymorph of the same formula at 0.0 meV per atom. The total DFT energy (no corrections) comes out at -45.45 eV per cell. The value obtained for the total magnetization is 12.0 μB per cell. The uncorrected formation energy is -0.287 eV/atom.


No. 10
Material: Pr2Th
Method: DFT, PBE
State: relaxed

Geometry as CIF:
```
data_Pr2Th
_chemical_formula_sum 'Pr2 Th1'
_symmetry_space_group_name_H-M 'P 6/m m m'
_symmetry_Int_Tables_number 191
_symmetry_space_group_name_Hall '-P 6 2'
_cell_length_a 5.7840
_cell_length_b 5.7840
_cell_length_c 3.5821
_cell_angle_alpha 90.00
_cell_angle_beta 90.00
_cell_angle_gamma 120.00
loop_
_atom_site_label
_atom_site_type_symbol
_atom_site_fract_x
_atom_site_fract_y
_atom_site_fract_z
Pr1 Pr 0.3333 0.6667 0.0000
Th1 Th 0.0000 0.0000 0.5000
```

## Properties
The calculation puts the distance to the lowest polymorph of the same formula at 57.9 meV per atom. The formation energy is 0.089 eV per atom. The total DFT energy (no corrections) comes out at -16.71 eV per cell. The value obtained for the total magnetization is 0.0 μB per cell.


No. 11
Material: LaNd3N3
Method: DFT, PBE
State: relaxed

Geometry as CIF:
```
data_LaNd3N3
_chemical_formula_sum 'La2 Nd6 N6'
_symmetry_space_group_name_H-M 'P 63/m m c'
_symmetry_Int_Tables_number 194
_symmetry_space_group_name_Hall '-P 6c 2c'
_cell_length_a 8.3955
_cell_length_b 8.3955
_cell_length_c 5.3049
_cell_angle_alpha 90.00
_cell_angle_beta 90.00
_cell_angle_gamma 120.00
loop_
_atom_site_label
_atom_site_type_symbol
_atom_site_fract_x
_atom_site_fract_y
_atom_site_fract_z
La1 La 0.3333 0.6667 0.2500
Nd1 Nd 0.1633 0.3267 0.7500
N1 N 0.1636 0.3273 0.2500
```

## Properties
The calculation puts the distance to the lowest polymorph of the same formula at 41.0 meV per atom. The total DFT energy (no corrections) comes out at -103.26 eV per cell. The value obtained for the total magnetization is 1.2 μB per cell. The uncorrected formation energy is -1.061 eV/atom.


No. 12
Material: Ca2TiMo
Method: DFT, PBE
State: relaxed

Geometry as CIF:
```
data_Ca2TiMo
_chemical_formula_sum 'Ca8 Ti4 Mo4'
_symmetry_space_group_name_H-M 'I -4 2 d'
_symmetry_Int_Tables_number 122
_symmetry_space_group_name_Hall 'I -4 2bw'
_cell_length_a 8.2795
_cell_length_b 8.2795
_cell_length_c 5.5876
_cell_angle_alpha 90.00
_cell_angle_beta 90.00
_cell_angle_gamma 90.00
loop_
_atom_site_label
_atom_site_type_symbol
_atom_site_fract_x
_atom_site_fract_y
_atom_site_fract_z
Ca1 Ca 0.2399 0.2500 0.1250
Ti1 Ti 0.0000 0.0000 0.5000
Mo1 Mo 0.0000 0.0000 0.0000
```

## Properties
The calculation puts the distance to the lowest polymorph of the same formula at 126.6 meV per atom. The formation energy is 1.183 eV per atom. The total DFT energy (no corrections) comes out at -71.99 eV per cell. The value obtained for the total magnetization is 0.0 μB per cell.


- What is the total DFT energy (no corrections) in the tenth record?
  -16.71 eV per cell


- The lowest total DFT energy (no corrections) belongs to which entry?
  B5C7


- The lowest total DFT energy (no corrections) belongs to which entry?
  B5C7


Please write out number 12 again, unchanged.
Material: Ca2TiMo
Method: DFT, PBE
State: relaxed

Geometry as CIF:
```
data_Ca2TiMo
_chemical_formula_sum 'Ca8 Ti4 Mo4'
_symmetry_space_group_name_H-M 'I -4 2 d'
_symmetry_Int_Tables_number 122
_symmetry_space_group_name_Hall 'I -4 2bw'
_cell_length_a 8.2795
_cell_length_b 8.2795
_cell_length_c 5.5876
_cell_angle_alpha 90.00
_cell_angle_beta 90.00
_cell_angle_gamma 90.00
loop_
_atom_site_label
_atom_site_type_symbol
_atom_site_fract_x
_atom_site_fract_y
_atom_site_fract_z
Ca1 Ca 0.2399 0.2500 0.1250
Ti1 Ti 0.0000 0.0000 0.5000
Mo1 Mo 0.0000 0.0000 0.0000
```

## Properties
The calculation puts the distance to the lowest polymorph of the same formula at 126.6 meV per atom. The formation energy is 1.183 eV per atom. The total DFT energy (no corrections) comes out at -71.99 eV per cell. The value obtained for the total magnetization is 0.0 μB per cell.